Material: TiBiSb3
Method: DFT, PBE-GGA
State: optimized geometry

abc: 5.2997 5.2997 5.2997
angles: 90.00 90.00 90.00
Positions (direct):
Ti: 0.0000 0.0000 0.0000
Bi: 0.5000 0.5000 0.5000
Sb: 0.0000 0.0000 0.5000
Sb: 0.0000 0.5000 0.0000
Sb: 0.5000 0.0000 0.0000

Energy relative to the lowest polymorph listed for this composition = 0 meV/atom
Energy = -4.61 eV/atom
M_tot = 0.000 μB/f.u.
Space group = Pm-3m (221)

---

Material: CdHg2Os
Method: DFT, PBE-GGA
State: optimized geometry

abc: 3.0035 3.0035 8.7922
angles: 90.00 90.00 90.00
Positions (direct):
Cd: 0.0000 0.0000 0.0000
Hg: 0.5000 0.5000 0.2726
Hg: 0.5000 0.5000 0.7274
Os: 0.0000 0.0000 0.5000

Energy of formation = 0.707 eV per atom
Energy = -2.48 eV/atom
M_tot = 1.210 μB/f.u.
Space group = P4/mmm (123)

---

Material: KTaCr
Method: DFT, PBE-GGA
State: optimized geometry

abc: 4.8242 4.8242 4.8242
angles: 60.00 60.00 60.00
Positions (direct):
K: 0.0000 0.0000 0.0000
Ta: 0.2500 0.2500 0.2500
Cr: 0.5000 0.5000 0.5000

Energy relative to the lowest polymorph listed for this composition = 1261 meV/atom
Energy of formation = 2.255 eV per atom
Energy = -5.27 eV/atom
M_tot = 1.638 μB/f.u.
Space group = F-43m (216)

---

Material: La6PrNd12
Method: DFT, PBE-GGA
State: optimized geometry

abc: 9.7992 9.7992 9.7992
angles: 110.89 110.89 110.89
Positions (direct):
La: 0.0538 0.5788 0.3687
La: 0.3687 0.0538 0.5788
La: 0.4212 0.6313 0.9462
La: 0.5788 0.3687 0.0538
La: 0.6313 0.9462 0.4212
La: 0.9462 0.4212 0.6313
Pr: 0.0000 0.0000 0.0000
Nd: 0.1059 0.1572 0.7374
Nd: 0.1572 0.7374 0.1059
Nd: 0.2101 0.3153 0.4730
Nd: 0.2626 0.8941 0.8428
Nd: 0.3153 0.4730 0.2101
Nd: 0.4730 0.2101 0.3153
Nd: 0.5270 0.7899 0.6847
Nd: 0.6847 0.5270 0.7899
Nd: 0.7374 0.1059 0.1572
Nd: 0.7899 0.6847 0.5270
Nd: 0.8428 0.2626 0.8941
Nd: 0.8941 0.8428 0.2626

Energy relative to the lowest polymorph listed for this composition = 0 meV/atom
Energy of formation = 0.016 eV per atom
Energy = -4.80 eV/atom
M_tot = 0.000 μB/f.u.
Space group = R-3 (148)

---

Material: TiSnS2Cl
Method: DFT, PBE-GGA
State: optimized geometry

abc: 4.8226 4.8226 4.6974
angles: 90.00 90.00 90.00
Positions (direct):
Ti: 0.0000 0.0000 0.0000
Sn: 0.5000 0.5000 0.5000
S: 0.0000 0.5000 0.0000
S: 0.5000 0.0000 0.0000
Cl: 0.0000 0.0000 0.5000

Energy relative to the lowest polymorph listed for this composition = 0 meV/atom
Energy = -5.14 eV/atom
M_tot = 0.317 μB/f.u.
Space group = P4/mmm (123)

---

Material: Na4Tl15Pb
Method: DFT, PBE-GGA
State: optimized geometry

abc: 4.9305 4.9305 24.2710
angles: 90.00 90.00 90.00
Positions (direct):
Na: 0.0000 0.0000 0.0980
Na: 0.0000 0.0000 0.2956
Na: 0.0000 0.0000 0.7044
Na: 0.0000 0.0000 0.9020
Tl: 0.0000 0.5000 0.0000
Tl: 0.0000 0.5000 0.1958
Tl: 0.0000 0.5000 0.3961
Tl: 0.0000 0.5000 0.6039
Tl: 0.0000 0.5000 0.8042
Tl: 0.5000 0.0000 0.0000
Tl: 0.5000 0.0000 0.1958
Tl: 0.5000 0.0000 0.3961
Tl: 0.5000 0.0000 0.6039
Tl: 0.5000 0.0000 0.8042
Tl: 0.5000 0.5000 0.0997
Tl: 0.5000 0.5000 0.2938
Tl: 0.5000 0.5000 0.5000
Tl: 0.5000 0.5000 0.7062
Tl: 0.5000 0.5000 0.9003
Pb: 0.0000 0.0000 0.5000

Energy of formation = -0.052 eV per atom
Energy = -2.28 eV/atom
M_tot = 0.000 μB/f.u.
Space group = P4/mmm (123)

---

Material: Na2CuI2Cl2
Method: DFT, PBE-GGA
State: optimized geometry

abc: 5.3690 5.3690 6.9626
angles: 90.00 90.00 90.00
Positions (direct):
Na: 0.0000 0.5000 0.0000
Na: 0.5000 0.0000 0.0000
Cu: 0.0000 0.0000 0.5000
I: 0.0000 0.5000 0.5000
I: 0.5000 0.0000 0.5000
Cl: 0.0000 0.0000 0.0000
Cl: 0.5000 0.5000 0.0000

Energy relative to the lowest polymorph listed for this composition = 0 meV/atom
Energy = -2.86 eV/atom
M_tot = 0.000 μB/f.u.
Space group = P4/mmm (123)

---

Material: Sc2PPb
Method: DFT, PBE-GGA
State: optimized geometry

abc: 3.3562 3.3562 7.9454
angles: 90.00 90.00 105.78
Positions (direct):
Sc: 0.0000 0.0000 0.2057
Sc: 0.0000 0.0000 0.7943
P: 0.5000 0.5000 0.0000
Pb: 0.5000 0.5000 0.5000

Energy relative to the lowest polymorph listed for this composition = 267 meV/atom
Energy of formation = -0.720 eV per atom
Energy = -6.17 eV/atom
M_tot = 0.000 μB/f.u.
Space group = Cmmm (65)

---

Material: CsBIO2
Method: DFT, PBE-GGA
State: optimized geometry

abc: 4.3000 4.3000 8.0838
angles: 90.00 90.00 90.00
Positions (direct):
Cs: 0.0000 0.0000 0.0000
B: 0.5000 0.5000 0.5000
I: 0.0000 0.0000 0.5000
O: 0.0000 0.5000 0.0000
O: 0.5000 0.0000 0.0000

Energy relative to the lowest polymorph listed for this composition = 603 meV/atom
Energy = -2.62 eV/atom
M_tot = 0.000 μB/f.u.
Space group = P4/mmm (123)

---

Material: LiTh
Method: DFT, PBE-GGA
State: optimized geometry

abc: 3.5276 3.5276 8.4553
angles: 90.00 90.00 90.00
Positions (direct):
Li: 0.2500 0.2500 0.0771
Li: 0.7500 0.7500 0.9229
Th: 0.2500 0.2500 0.6469
Th: 0.7500 0.7500 0.3531

Energy relative to the lowest polymorph listed for this composition = 0 meV/atom
Energy of formation = 0.140 eV per atom
Energy = -4.53 eV/atom
M_tot = 0.000 μB/f.u.
Space group = P4/nmm (129)

---

Material: SmTm4Zr
Method: DFT, PBE-GGA
State: optimized geometry

abc: 8.2777 8.2777 6.2063
angles: 100.10 100.10 115.61
Positions (direct):
Sm: 0.0914 0.9086 0.7500
Sm: 0.9086 0.0914 0.2500
Tm: 0.0945 0.3305 0.8685
Tm: 0.2181 0.5927 0.4618
Tm: 0.3305 0.0945 0.3685
Tm: 0.4073 0.7819 0.0382
Tm: 0.5927 0.2181 0.9618
Tm: 0.6695 0.9055 0.6315
Tm: 0.7819 0.4073 0.5382
Tm: 0.9055 0.6695 0.1315
Zr: 0.4970 0.5030 0.2500
Zr: 0.5030 0.4970 0.7500

Energy relative to the lowest polymorph listed for this composition = 64 meV/atom
Energy of formation = 0.125 eV per atom
Energy = -5.07 eV/atom
M_tot = 0.000 μB/f.u.
Space group = C2/c (15)

---

Material: Tb4Pr3Tm8
Method: DFT, PBE-GGA
State: optimized geometry

abc: 9.2586 9.2586 6.7071
angles: 111.16 111.16 87.87
Positions (direct):
Tb: 0.0000 0.0000 0.0000
Tb: 0.0000 0.0000 0.5000
Tb: 0.0000 0.5000 0.0000
Tb: 0.5000 0.0000 0.0000
Pr: 0.0000 0.5000 0.5000
Pr: 0.5000 0.0000 0.5000
Pr: 0.5000 0.5000 0.5000
Tm: 0.2531 0.7469 0.5000
Tm: 0.2640 0.2640 0.0046
Tm: 0.2649 0.2649 0.5262
Tm: 0.3618 0.6382 0.0000
Tm: 0.6382 0.3618 0.0000
Tm: 0.7351 0.7351 0.4738
Tm: 0.7360 0.7360 0.9954
Tm: 0.7469 0.2531 0.5000

Energy of formation = 0.391 eV per atom
Energy = -4.18 eV/atom
M_tot = 0.001 μB/f.u.
Space group = C2/m (12)

---

Material: Y2ErFe
Method: DFT, PBE-GGA
State: optimized geometry

abc: 10.7740 10.7740 10.7740
angles: 18.54 18.54 18.54
Positions (direct):
Y: 0.1072 0.1072 0.1072
Y: 0.8928 0.8928 0.8928
Er: 0.0000 0.0000 0.0000
Fe: 0.5000 0.5000 0.5000

Energy relative to the lowest polymorph listed for this composition = 374 meV/atom
Energy of formation = 0.368 eV per atom
Energy = -6.12 eV/atom
M_tot = 0.457 μB/f.u.
Space group = R-3m (166)

---

Material: HfZnTe2I
Method: DFT, PBE-GGA
State: optimized geometry

abc: 5.2546 5.2546 5.2952
angles: 90.00 90.00 90.00
Positions (direct):
Hf: 0.0000 0.0000 0.0000
Zn: 0.5000 0.5000 0.5000
Te: 0.0000 0.5000 0.5000
Te: 0.5000 0.0000 0.5000
I: 0.5000 0.5000 0.0000

Energy relative to the lowest polymorph listed for this composition = 645 meV/atom
Energy = -3.29 eV/atom
M_tot = 0.000 μB/f.u.
Space group = P4/mmm (123)

---

Material: Er6TlCd6
Method: DFT, PBE-GGA
State: optimized geometry

abc: 6.0734 6.0734 10.8846
angles: 90.00 90.00 120.00
Positions (direct):
Er: 0.0000 0.0000 0.1565
Er: 0.0000 0.0000 0.8435
Er: 0.3333 0.6667 0.0000
Er: 0.3333 0.6667 0.5000
Er: 0.6667 0.3333 0.0000
Er: 0.6667 0.3333 0.5000
Tl: 0.0000 0.0000 0.5000
Cd: 0.0000 0.5000 0.2529
Cd: 0.0000 0.5000 0.7471
Cd: 0.5000 0.0000 0.2529
Cd: 0.5000 0.0000 0.7471
Cd: 0.5000 0.5000 0.2529
Cd: 0.5000 0.5000 0.7471

Energy of formation = -0.137 eV per atom
Energy = -2.85 eV/atom
M_tot = 0.699 μB/f.u.
Space group = P6/mmm (191)

---

Material: PmPt3
Method: DFT, PBE-GGA
State: optimized geometry

abc: 5.4613 5.4613 9.4575
angles: 106.77 106.77 59.88
Positions (direct):
Pm: 0.0000 0.0000 0.0000
Pm: 0.1392 0.1392 0.4175
Pm: 0.8608 0.8608 0.5825
Pt: 0.0808 0.5865 0.2541
Pt: 0.3323 0.3323 0.9989
Pt: 0.4137 0.4137 0.7465
Pt: 0.4135 0.9192 0.7459
Pt: 0.5000 0.5000 0.5000
Pt: 0.5865 0.0808 0.2541
Pt: 0.5863 0.5863 0.2535
Pt: 0.6677 0.6677 0.0011
Pt: 0.9192 0.4135 0.7459

Energy of formation = -0.926 eV per atom
Energy = -6.64 eV/atom
M_tot = 0.000 μB/f.u.
Space group = C2/m (12)

---

Material: SbTeW2
Method: DFT, PBE-GGA
State: optimized geometry

abc: 4.8266 4.8266 4.8266
angles: 60.00 60.00 60.00
Positions (direct):
Sb: 0.0000 0.0000 0.0000
Te: 0.7500 0.7500 0.7500
W: 0.2500 0.2500 0.2500
W: 0.5000 0.5000 0.5000

Energy relative to the lowest polymorph listed for this composition = 838 meV/atom
Energy = -7.17 eV/atom
M_tot = 0.000 μB/f.u.
Space group = F-43m (216)

---

Material: Nd2Y8Ho
Method: DFT, PBE-GGA
State: optimized geometry

abc: 9.2206 9.2206 5.9263
angles: 105.13 105.13 121.00
Positions (direct):
Nd: 0.1940 0.8060 0.0000
Nd: 0.8060 0.1940 0.0000
Y: 0.0780 0.0780 0.2977
Y: 0.1724 0.4018 0.8344
Y: 0.2917 0.7083 0.5000
Y: 0.4018 0.1724 0.8344
Y: 0.5982 0.8276 0.1656
Y: 0.7083 0.2917 0.5000
Y: 0.8276 0.5982 0.1656
Y: 0.9220 0.9220 0.7023
Ho: 0.5000 0.5000 0.5000

Energy of formation = 0.156 eV per atom
Energy = -5.83 eV/atom
M_tot = 0.000 μB/f.u.
Space group = C2/m (12)

---

Material: Ba2SrIr
Method: DFT, PBE-GGA
State: optimized geometry

abc: 6.0714 6.0714 8.1252
angles: 110.49 110.49 40.30
Positions (direct):
Ba: 0.0000 0.0000 0.0000
Ba: 0.1564 0.1564 0.5878
Sr: 0.8164 0.8164 0.2914
Ir: 0.5333 0.5333 0.2930

Energy relative to the lowest polymorph listed for this composition = 88 meV/atom
Energy of formation = -0.083 eV per atom
Energy = -3.68 eV/atom
M_tot = 0.000 μB/f.u.
Space group = Cm (8)

---

Material: Pm2Ho5Er4
Method: DFT, PBE-GGA
State: optimized geometry

abc: 12.5235 12.5235 12.5235
angles: 164.05 138.04 45.16
Positions (direct):
Pm: 0.2323 0.2323 0.0000
Pm: 0.7677 0.7677 0.0000
Ho: 0.1629 0.3583 0.8046
Ho: 0.4463 0.6417 0.8046
Ho: 0.5000 0.0000 0.5000
Ho: 0.5537 0.3583 0.1954
Ho: 0.8371 0.6417 0.1954
Er: 0.0969 0.0969 0.0000
Er: 0.1889 0.5000 0.6889
Er: 0.8111 0.5000 0.3111
Er: 0.9031 0.9031 0.0000

Energy relative to the lowest polymorph listed for this composition = 188 meV/atom
Energy of formation = 0.209 eV per atom
Energy = -4.40 eV/atom
M_tot = 0.001 μB/f.u.
Space group = Immm (71)

---

Material: MnBeAu2S
Method: DFT, PBE-GGA
State: optimized geometry

abc: 5.0549 5.0549 3.6882
angles: 90.00 90.00 90.00
Positions (direct):
Mn: 0.0000 0.0000 0.0000
Be: 0.5000 0.5000 0.0000
Au: 0.0000 0.5000 0.5000
Au: 0.5000 0.0000 0.5000
S: 0.5000 0.5000 0.5000

Energy = -4.15 eV/atom
M_tot = 4.703 μB/f.u.
Space group = P4/mmm (123)

---

Material: La2Al
Method: DFT, PBE-GGA
State: optimized geometry

abc: 8.3829 8.3829 4.6310
angles: 90.00 90.00 120.00
Positions (direct):
La: 0.0000 0.2678 0.0000
La: 0.0000 0.5871 0.5000
La: 0.2678 0.0000 0.0000
La: 0.4129 0.4129 0.5000
La: 0.5871 0.0000 0.5000
La: 0.7322 0.7322 0.0000
Al: 0.0000 0.0000 0.5000
Al: 0.3333 0.6667 0.0000
Al: 0.6667 0.3333 0.0000

Energy of formation = -0.237 eV per atom
Energy = -4.77 eV/atom
M_tot = 0.000 μB/f.u.
Space group = P-62m (189)

---

Material: CsNa2AsO
Method: DFT, PBE-GGA
State: optimized geometry

abc: 6.1942 6.1942 4.4708
angles: 90.00 90.00 90.00
Positions (direct):
Cs: 0.0000 0.0000 0.0000
Na: 0.0000 0.5000 0.0000
Na: 0.5000 0.0000 0.0000
As: 0.5000 0.5000 0.5000
O: 0.0000 0.0000 0.5000

Energy = -2.36 eV/atom
M_tot = 0.662 μB/f.u.
Space group = P4/mmm (123)

---

Material: CeBe2Pt3
Method: DFT, PBE-GGA
State: optimized geometry

abc: 9.2360 9.2360 3.8276
angles: 90.00 90.00 120.00
Positions (direct):
Ce: 0.0000 0.0000 0.0000
Ce: 0.3333 0.6667 0.5000
Ce: 0.6667 0.3333 0.5000
Be: 0.1822 0.3644 0.0000
Be: 0.1822 0.8178 0.0000
Be: 0.3644 0.1822 0.0000
Be: 0.6356 0.8178 0.0000
Be: 0.8178 0.1822 0.0000
Be: 0.8178 0.6356 0.0000
Pt: 0.0000 0.2901 0.5000
Pt: 0.0000 0.5000 0.0000
Pt: 0.0000 0.7099 0.5000
Pt: 0.2901 0.0000 0.5000
Pt: 0.2901 0.2901 0.5000
Pt: 0.5000 0.0000 0.0000
Pt: 0.5000 0.5000 0.0000
Pt: 0.7099 0.0000 0.5000
Pt: 0.7099 0.7099 0.5000

Energy of formation = -0.754 eV per atom
Energy = -6.00 eV/atom
M_tot = 0.805 μB/f.u.
Space group = P6/mmm (191)